Cu2PH, optimized geometry, DFT PBE-GGA; density = 6110 kg/m3; electronic total energy = -3.7897 eV/atom; DOS(E_F) = 1.99 states/eV/f.u.; total magnetization = 0.00 μB per formula unit
1.0
0.000 2.786 2.786
2.786 0.000 2.786
2.786 2.786 0.000
P Cu H
1 2 1
direct
0.500 0.500 0.500 P
0.250 0.250 0.250 Cu
0.750 0.750 0.750 Cu
0.000 0.000 0.000 H

Cu2P2H, optimized geometry, DFT PBE-GGA; density = 4761 kg/m3; electronic total energy = -3.9230 eV/atom; DOS(E_F) = 2.19 states/eV/f.u.; total magnetization = 0.46 μB per formula unit
1.0
7.307 0.000 0.000
0.000 7.307 0.000
0.000 0.000 2.483
P Cu H
4 4 2
direct
0.146 0.646 0.500 P
0.646 0.854 0.500 P
0.854 0.354 0.500 P
0.354 0.146 0.500 P
0.346 0.846 0.000 Cu
0.846 0.654 0.000 Cu
0.654 0.154 0.000 Cu
0.154 0.346 0.000 Cu
0.000 0.000 0.000 H
0.500 0.500 0.000 H

Cu2PH, optimized geometry, DFT PBE-GGA; density = 5521 kg/m3; electronic total energy = -3.9986 eV/atom; DOS(E_F) = 1.24 states/eV/f.u.; total magnetization = 0.00 μB per formula unit
1.0
-1.790 -1.259 -3.869
-1.306 -3.826 1.849
-5.745 -0.494 0.265
P Cu H
2 4 2
direct
0.000 0.000 0.000 P
0.750 0.250 0.500 P
0.517 0.125 0.250 Cu
0.233 0.625 0.250 Cu
0.375 0.483 0.750 Cu
0.875 0.767 0.750 Cu
0.500 0.500 0.000 H
0.250 0.750 0.500 H

CuPH3, optimized geometry, DFT PBE-GGA; density = 4019 kg/m3; electronic total energy = -3.0725 eV/atom; DOS(E_F) = 1.75 states/eV/f.u.; total magnetization = 0.00 μB per formula unit
1.0
3.429 0.000 0.000
0.000 3.429 0.000
0.000 0.000 3.429
P Cu H
1 1 3
direct
0.500 0.500 0.500 P
0.000 0.000 0.000 Cu
0.000 0.500 0.000 H
0.000 0.000 0.500 H
0.500 0.000 0.000 H

CuP2H2, optimized geometry, DFT PBE-GGA; density = 4254 kg/m3; electronic total energy = -3.6200 eV/atom; DOS(E_F) = 1.02 states/eV/f.u.; total magnetization = 0.00 μB per formula unit
1.0
5.873 0.000 0.000
0.000 5.873 0.000
0.000 0.000 2.886
P Cu H
4 2 4
direct
0.130 0.630 0.500 P
0.630 0.870 0.500 P
0.870 0.370 0.500 P
0.370 0.130 0.500 P
0.000 0.000 0.000 Cu
0.500 0.500 0.000 Cu
0.387 0.887 0.000 H
0.887 0.613 0.000 H
0.613 0.113 0.000 H
0.113 0.387 0.000 H

CuPH3, optimized geometry, DFT PBE-GGA; density = 3815 kg/m3; electronic total energy = -3.1945 eV/atom; DOS(E_F) = 1.77 states/eV/f.u.; total magnetization = 0.00 μB per formula unit
1.0
3.489 0.000 0.000
0.000 3.489 0.000
0.000 0.000 3.489
P Cu H
1 1 3
direct
0.000 0.000 0.000 P
0.500 0.500 0.500 Cu
0.000 0.500 0.000 H
0.000 0.000 0.500 H
0.500 0.000 0.000 H

Cu4PH2, optimized geometry, DFT PBE-GGA; density = 5320 kg/m3; electronic total energy = -3.6386 eV/atom; DOS(E_F) = 3.33 states/eV/f.u.; total magnetization = 0.00 μB per formula unit
1.0
-3.604 -2.502 -0.371
0.684 -1.585 4.050
-4.018 1.377 3.610
P Cu H
1 4 2
direct
0.000 0.000 0.000 P
0.239 0.239 0.522 Cu
0.761 0.761 0.478 Cu
0.000 0.500 0.000 Cu
0.500 0.000 0.000 Cu
0.403 0.403 0.193 H
0.597 0.597 0.807 H

CuP2H2, optimized geometry, DFT PBE-GGA; density = 4159 kg/m3; electronic total energy = -3.8540 eV/atom; DOS(E_F) = 1.50 states/eV/f.u.; total magnetization = 0.00 μB per formula unit
1.0
-0.493 -3.651 -1.112
3.257 -0.987 1.797
-0.396 -2.954 3.215
P Cu H
2 1 2
direct
0.750 0.250 0.500 P
0.250 0.750 0.500 P
0.000 0.000 0.000 Cu
0.444 0.444 0.113 H
0.556 0.556 0.887 H

Cu3PH, optimized geometry, DFT PBE-GGA; density = 6989 kg/m3; electronic total energy = -4.0365 eV/atom; DOS(E_F) = 1.62 states/eV/f.u.; total magnetization = 0.00 μB per formula unit
1.0
-1.050 2.980 -2.027
-2.165 1.166 2.836
2.881 1.963 1.392
P Cu H
1 3 1
direct
0.500 0.500 0.500 P
0.000 0.500 0.000 Cu
0.000 0.000 0.500 Cu
0.500 0.000 0.000 Cu
0.000 0.000 0.000 H

Cu2P2H, optimized geometry, DFT PBE-GGA; density = 4669 kg/m3; electronic total energy = -3.8231 eV/atom; DOS(E_F) = 1.49 states/eV/f.u.; total magnetization = 0.00 μB per formula unit
1.0
-0.887 -0.588 3.147
-0.669 -3.159 -0.778
4.996 -3.426 2.522
P Cu H
2 2 1
direct
0.750 0.250 0.500 P
0.250 0.750 0.500 P
0.403 0.403 0.194 Cu
0.597 0.597 0.806 Cu
0.000 0.000 0.000 H

Cu2PHPb, optimized geometry, DFT PBE-GGA; density = 8046 kg/m3; electronic total energy = -3.8688 eV/atom; DOS(E_F) = 1.57 states/eV/f.u.; total magnetization = 0.00 μB per formula unit
1.0
-1.125 4.519 0.753
-2.443 -0.967 2.153
3.079 0.172 3.570
Pb P Cu H
1 1 2 1
direct
0.500 0.500 0.500 Pb
0.000 0.000 0.000 P
0.000 0.000 0.500 Cu
0.500 0.000 0.000 Cu
0.000 0.500 0.000 H

PmCuPH, optimized geometry, DFT PBE-GGA; density = 6747 kg/m3; electronic total energy = -5.2332 eV/atom; DOS(E_F) = 0.17 states/eV/f.u.; total magnetization = 0.00 μB per formula unit
1.0
-3.428 -1.274 -1.246
0.428 -3.211 2.106
-3.551 3.552 6.139
Pm Cu P H
2 2 2 2
direct
0.500 0.000 0.677 Pm
0.000 0.500 0.323 Pm
0.500 0.500 0.000 Cu
0.000 0.000 0.000 Cu
0.000 0.500 0.817 P
0.500 0.000 0.183 P
0.000 0.000 0.500 H
0.500 0.500 0.500 H

PrCuPH, optimized geometry, DFT PBE-GGA; density = 6509 kg/m3; electronic total energy = -5.2705 eV/atom; DOS(E_F) = 0.07 states/eV/f.u.; total magnetization = 0.00 μB per formula unit
1.0
-2.955 -1.867 2.067
3.769 0.119 1.507
-0.905 3.620 1.977
Pr Cu P H
1 1 1 1
direct
0.572 0.144 0.324 Pr
0.239 0.477 0.846 Cu
0.905 0.811 0.801 P
0.239 0.477 0.269 H

PuCuPH, optimized geometry, DFT PBE-GGA; density = 10307 kg/m3; electronic total energy = -7.4287 eV/atom; DOS(E_F) = 9.23 states/eV/f.u.; total magnetization = 5.01 μB per formula unit
1.0
3.889 0.000 0.000
0.000 3.889 0.000
0.000 0.000 7.232
Pu Cu P H
2 2 2 2
direct
0.000 0.500 0.842 Pu
0.500 0.000 0.158 Pu
0.000 0.000 0.500 Cu
0.500 0.500 0.500 Cu
0.500 0.000 0.701 P
0.000 0.500 0.299 P
0.500 0.500 0.000 H
0.000 0.000 0.000 H